Entry from Alexandria: NaTiNi2 after structural relaxation (PBE).

Output
Energy relative to the lowest polymorph listed for this composition   202 meV/atom

```
data_NaTiNi2
_chemical_formula_sum 'Na4 Ti4 Ni8'
_symmetry_space_group_name_H-M 'I -4 2 d'
_symmetry_Int_Tables_number 122
_symmetry_space_group_name_Hall 'I -4 2bw'
_cell_length_a 6.7904
_cell_length_b 6.7904
_cell_length_c 5.4542
_cell_angle_alpha 90.00
_cell_angle_beta 90.00
_cell_angle_gamma 90.00
loop_
_atom_site_label
_atom_site_type_symbol
_atom_site_fract_x
_atom_site_fract_y
_atom_site_fract_z
Na1 Na 0.0000 0.0000 0.0000
Ti1 Ti 0.0000 0.0000 0.5000
Ni1 Ni 0.2183 0.2500 0.6250
```